Compound: CoBi2O4
Source: Alexandria via LeMat-Bulk
Functional: PBE+U
Structure: optimized geometry

Computed properties:
Its final energy is -5.7719 eV per atom.

a b c (Å): 11.349 3.722 11.111
angles (deg): 90.00 90.00 90.00
Space group Pnma (No. 62)
Unique sites:
Co (0.199, 0.250, 0.117) (multiplicity 4)
Bi (0.084, 0.250, 0.797) (multiplicity 4)
Bi (0.120, 0.250, 0.411) (multiplicity 4)
O (0.026, 0.250, 0.606) (multiplicity 4)
O (0.055, 0.250, 0.199) (multiplicity 4)
O (0.203, 0.750, 0.756) (multiplicity 4)
O (0.241, 0.750, 0.465) (multiplicity 4)